TbCePu4, optimized geometry, DFT PBE-GGA; E = -66.42 eV for the cell shown; DOS at the Fermi energy = 4.51 states/eV/atom; ΔE_f = 0.245 eV/atom
1.0
-3.9590 4.3333 1.8065
-4.1769 2.1781 -3.9400
-5.9371 -1.3826 0.7437
Tb Ce Pu
1 1 4
Direct
0.2500 0.2500 0.2500
0.0000 0.0000 0.0000
0.6258 0.6258 0.1227
0.6258 0.1227 0.6258
0.6258 0.6258 0.6258
0.1227 0.6258 0.6258